[1]
KPtRh2: relaxed, PBE.

Results
total energy	-4.949	eV per atom
ΔH_f (0 K)	512	meV per atom
E above lowest polymorph	0.90	eV/f.u.
space group	No. 166
D(E_F)	1.841	states/eV per atom

a b c (Å): 10.170 10.170 10.170
angles (deg): 15.99 15.99 15.99
Site moments in Bohr magnetons follow the coordinates.
Element x y z (fractional)
K (0.250, 0.250, 0.250)  0.00
Pt (0.750, 0.750, 0.750)  0.08
Rh (0.010, 0.010, 0.010)  0.29
Rh (0.490, 0.490, 0.490)  0.29


[2]
K2PtRh: relaxed, PBE.

Results
total energy	-3.645	eV per atom
ΔH_f (0 K)	251	meV per atom
E above lowest polymorph	0.25	eV/f.u.
space group	No. 8
D(E_F)	1.114	states/eV per atom

a b c (Å): 4.683 4.683 9.469
angles (deg): 86.12 86.12 37.26
Element x y z (fractional)
K (0.985, 0.985, 0.100)
K (0.767, 0.767, 0.649)
Pt (0.508, 0.508, 0.406)
Rh (0.240, 0.240, 0.345)


[3]
K2PtRh: relaxed, PBE.

Results
total energy	-3.406	eV per atom
ΔH_f (0 K)	491	meV per atom
E above lowest polymorph	1.21	eV/f.u.
space group	No. 12
D(E_F)	0.502	states/eV per atom

a b c (Å): 5.656 5.656 5.160
angles (deg): 81.94 81.94 29.92
Element x y z (fractional)
K (0.000, 0.000, 0.000)
K (0.500, 0.500, 0.500)
Pt (0.750, 0.750, 0.750)
Rh (0.250, 0.250, 0.250)


[4]
K2PtRh: relaxed, PBE.

Results
total energy	-3.386	eV per atom
ΔH_f (0 K)	511	meV per atom
E above lowest polymorph	1.29	eV/f.u.
space group	No. 10
D(E_F)	0.803	states/eV per atom

a b c (Å): 5.185 2.861 6.564
angles (deg): 63.29 90.00 90.00
Site moments in Bohr magnetons follow the coordinates.
Element x y z (fractional)
K (0.000, 0.998, 0.001)  -0.01
K (0.000, 0.502, 0.499)  -0.01
Pt (0.500, 0.250, 0.250)  0.05
Rh (0.500, 0.750, 0.750)  0.61


Number 1 is which compound? KPtRh2


Among the records above, which one has the highest total energy? number 4


Look up the ΔH_f (0 K) of the fourth one. 511 meV per atom


Which of these has the highest D(E_F)? KPtRh2